[1]
Computed, not measured: crystalline Be2FeTc at its relaxed geometry at the PBE level of DFT.

Results
* calculated volume: 41.9 Å³ per cell
* calculated density: 6.81 g/cm3
* energy of formation from the pure elements: -4 kJ/mol of atoms
* excess energy over the best structure of this formula in the dataset: 81 meV/atom

Cell: 3.8984 3.8984 3.8984 Å, 60.00 60.00 60.00°
Each line ends with the local moment (μB).
Sites, in units of the cell vectors:
Be 0.7500 0.7500 0.7500  -0.03
Be 0.2500 0.2500 0.2500  -0.03
Tc 0.5000 0.5000 0.5000  0.83
Fe 0.0000 0.0000 0.0000  2.27

***

[2]
Computed, not measured: crystalline BeFeTc at its relaxed geometry at the PBE level of DFT.

Results
* calculated volume: 83.2 Å³ per cell
* calculated density: 6.50 g/cm3
* energy of formation from the pure elements: 48 kJ/mol of atoms
* excess energy over the best structure of this formula in the dataset: 647 meV/atom

Cell: 3.8016 5.1093 5.1093 Å, 57.00 90.00 90.00°
Each line ends with the local moment (μB).
Sites, in units of the cell vectors:
Tc 0.0000 0.0622 0.5766  -0.11
Tc 0.0000 0.5766 0.0622  -0.11
Fe 0.0000 0.0803 0.0803  2.29
Fe 0.5000 0.4284 0.4284  1.78
Be 0.0000 0.5750 0.5750  -0.05
Be 0.5000 0.9290 0.9290  -0.05